Computed, not measured: an optimized crystal structure of MnCr2SiO6 at the PBE with a Hubbard U level of DFT.

Summary:
For the final energy, the calculation gives -76.55 eV per cell.

Cell: 4.963 5.008 5.372 Å, 62.44 89.68 60.42°
Fractional positions:
Mn 0.000 0.000 0.000
Cr 0.206 0.590 0.604
Cr 0.712 0.578 0.122
Si 0.515 0.973 0.532
O 0.150 0.082 0.336
O 0.325 0.080 0.801
O 0.441 0.411 0.346
O 0.590 0.526 0.795
O 0.775 0.799 0.335
O 0.894 0.786 0.800